#w
Material: Li2CdIn5
Method: DFT, PBE
State: relaxed

The structure in POSCAR format:
```
Li2CdIn5
1.0
6.3622 0.0000 0.0000
0.0000 12.7165 0.0000
0.0000 0.0000 4.5579
Li Cd In
4 2 10
Cartesian
1.5747 1.6097 0.0000 Li
1.6064 7.9680 0.0000 Li
4.7558 4.7485 0.0000 Li
4.7875 11.1068 0.0000 Li
0.0000 6.3583 2.2790 Cd
3.1811 0.0000 2.2790 Cd
0.0000 0.0000 2.2790 In
0.0224 9.5024 2.2790 In
1.5737 4.8045 0.0000 In
1.6074 11.1628 0.0000 In
3.1587 3.1441 2.2790 In
3.1811 6.3583 2.2790 In
3.2035 9.5725 2.2790 In
4.7548 1.5537 0.0000 In
4.7885 7.9120 0.0000 In
6.3398 3.2142 2.2790 In
```

#x
Material: Li2CdIn5
Method: DFT, PBE
State: relaxed

The structure in POSCAR format:
```
Li2CdIn5
1.0
1.6359 -10.3035 0.0000
1.6359 10.3035 0.0000
0.0000 0.0000 11.8218
Li Cd In
4 2 10
Cartesian
1.6359 8.5064 7.3559 Li
1.6359 8.5064 10.3769 Li
1.6359 -8.5064 1.4450 Li
1.6359 -8.5064 4.4659 Li
1.6359 6.6996 2.9555 Cd
1.6359 -6.6996 8.8664 Cd
1.6359 9.2921 1.3856 In
1.6359 9.2921 4.5253 In
1.6359 6.1376 8.8664 In
1.6359 3.7427 6.0494 In
1.6359 3.7427 11.6834 In
1.6359 -3.7427 0.1384 In
1.6359 -3.7427 5.7725 In
1.6359 -6.1376 2.9555 In
1.6359 -9.2921 7.2966 In
1.6359 -9.2921 10.4362 In
```

Energy above the most stable structure, in meV per atom: #w 0; #x 126

#w
Material: LiCd4In2
Method: DFT, PBE
State: relaxed

The structure in POSCAR format:
```
LiCd4In2
1.0
2.5488 -10.1891 0.0000
2.5488 10.1891 0.0000
0.0000 0.0000 3.1700
Li Cd In
1 4 2
Cartesian
0.0000 0.0000 0.0000 Li
2.5488 7.6707 1.5850 Cd
2.5488 1.4794 0.0000 Cd
2.5488 -1.4794 0.0000 Cd
2.5488 -7.6707 1.5850 Cd
2.5488 4.3308 1.5850 In
2.5488 -4.3308 1.5850 In
```

#x
Material: LiCd4In2
Method: DFT, PBE
State: relaxed

The structure in POSCAR format:
```
LiCd4In2
1.0
-2.5270 2.5270 7.3766
2.5270 -2.5270 7.3766
2.5270 2.5270 -7.3766
Li Cd In
1 4 2
Cartesian
0.0000 0.0000 0.0000 Li
2.5270 0.0000 0.0000 Cd
0.0000 0.0000 2.6181 Cd
0.0000 2.5270 0.0000 Cd
0.0000 0.0000 12.1352 Cd
0.0000 0.0000 5.5192 In
0.0000 0.0000 9.2341 In
```

Energy above the most stable structure, in meV per atom: #w 0; #x 183

#w
Material: Li8Cd2In
Method: DFT, PBE
State: relaxed

The structure in POSCAR format:
```
Li8Cd2In
1.0
3.7686 -6.8586 0.0000
3.7686 6.8586 0.0000
-2.9642 0.0000 4.0043
Li Cd In
8 2 1
Cartesian
-0.3553 1.6216 2.7036 Li
3.7686 4.0108 0.0000 Li
-0.3553 -1.6216 2.7036 Li
2.6058 0.0000 0.8259 Li
1.9672 0.0000 3.1785 Li
4.9282 1.6216 1.3008 Li
3.7686 -4.0108 0.0000 Li
4.9282 -1.6216 1.3008 Li
2.2865 2.5766 2.0022 Cd
2.2865 -2.5766 2.0022 Cd
0.0000 0.0000 0.0000 In
```

#x
Material: Li8Cd2In
Method: DFT, PBE
State: relaxed

The structure in POSCAR format:
```
Li8Cd2In
1.0
7.7323 -2.3702 0.0000
7.7323 2.3702 0.0000
-0.0717 0.0000 5.5385
Li Cd In
8 2 1
Cartesian
0.6666 0.0000 1.3121 Li
2.0804 0.0000 3.7136 Li
4.8735 0.0000 3.2894 Li
6.3068 0.0000 0.1939 Li
9.0860 0.0000 5.3446 Li
10.5194 0.0000 2.2491 Li
13.3124 0.0000 1.8249 Li
14.7262 0.0000 4.2264 Li
3.4509 0.0000 0.8008 Cd
11.9419 0.0000 4.7377 Cd
7.6964 0.0000 2.7693 In
```

Energy above the most stable structure, in meV per atom: #w 73; #x 0

#w
Material: Li5CdIn
Method: DFT, PBE
State: relaxed

The structure in POSCAR format:
```
Li5CdIn
1.0
4.2554 0.0000 0.0000
0.0000 4.2554 0.0000
0.0000 0.0000 7.8731
Li Cd In
5 1 1
Cartesian
0.0000 0.0000 0.0000 Li
0.0000 2.1277 2.0537 Li
0.0000 2.1277 5.8195 Li
2.1277 0.0000 2.0537 Li
2.1277 0.0000 5.8195 Li
0.0000 0.0000 3.9366 Cd
2.1277 2.1277 0.0000 In
```

#x
Material: Li5CdIn
Method: DFT, PBE
State: relaxed

The structure in POSCAR format:
```
Li5CdIn
1.0
3.2837 -4.0269 0.0000
3.2837 4.0269 0.0000
-2.6751 0.0000 9.8956
Li Cd In
10 2 2
Cartesian
1.0200 0.7994 0.4240 Li
1.2773 2.8049 7.4217 Li
-0.3176 -0.7994 5.3718 Li
0.3078 0.2410 8.4477 Li
1.6453 -0.2410 3.4999 Li
2.2469 0.2410 6.3957 Li
3.5845 -0.2410 1.4479 Li
4.2098 0.7994 4.5238 Li
2.6149 -2.8049 2.4739 Li
2.8723 -0.7994 9.4716 Li
2.6149 2.3326 2.4739 Cd
1.2773 -2.3326 7.4217 Cd
0.3043 2.0135 4.9478 In
1.6418 -2.0135 0.0000 In
```

Energy above the most stable structure, in meV per atom: #w 51; #x 0

#w
Material: Li7Cd4In
Method: DFT, PBE
State: relaxed

The structure in POSCAR format:
```
Li7Cd4In
1.0
4.7237 0.0000 0.0000
-2.3619 4.0909 0.0000
0.0000 0.0000 11.3896
Li Cd In
7 4 1
Cartesian
0.0000 0.0000 0.0000 Li
0.0000 0.0000 2.8152 Li
0.0000 0.0000 8.5745 Li
0.0000 2.7272 1.9367 Li
0.0000 2.7272 4.7970 Li
2.3619 1.3636 6.5927 Li
2.3619 1.3636 9.4530 Li
0.0000 2.7272 7.6237 Cd
0.0000 2.7272 10.5403 Cd
2.3619 1.3636 0.8494 Cd
2.3619 1.3636 3.7660 Cd
0.0000 0.0000 5.6948 In
```

#x
Material: Li7Cd4In
Method: DFT, PBE
State: relaxed

The structure in POSCAR format:
```
Li7Cd4In
1.0
6.8698 -2.5106 0.0000
6.8698 2.5106 0.0000
-3.8202 0.0000 6.8991
Li Cd In
7 4 1
Cartesian
0.0000 0.0000 0.0000 Li
0.8880 0.0000 5.1844 Li
3.6224 0.0000 0.8955 Li
3.5811 0.0000 3.9417 Li
6.3384 0.0000 2.9574 Li
6.2971 0.0000 6.0036 Li
9.0314 0.0000 1.7147 Li
-1.8128 0.0000 4.9488 Cd
1.0348 0.0000 2.5020 Cd
8.8846 0.0000 4.3971 Cd
11.7322 0.0000 1.9503 Cd
6.8698 0.0000 0.0000 In
```

Energy above the most stable structure, in meV per atom: #w 0; #x 104

#w
Material: Li4CdIn5
Method: DFT, PBE
State: relaxed

The structure in POSCAR format:
```
Li4CdIn5
1.0
7.6153 -2.2758 0.0000
7.6153 2.2758 0.0000
-3.1407 0.0000 6.1721
Li Cd In
4 1 5
Cartesian
-0.6142 0.0000 1.6133 Li
3.1811 0.0000 3.5714 Li
8.9088 0.0000 2.6007 Li
12.7042 0.0000 4.5589 Li
7.6153 0.0000 0.0000 Cd
2.1997 0.0000 0.8346 In
0.3924 0.0000 4.3675 In
6.0450 0.0000 3.0861 In
11.6975 0.0000 1.8046 In
9.8902 0.0000 5.3375 In
```

#x
Material: Li4CdIn5
Method: DFT, PBE
State: relaxed

The structure in POSCAR format:
```
Li4CdIn5
1.0
3.5344 0.0000 0.0000
0.0000 3.5344 0.0000
0.0000 0.0000 16.7589
Li Cd In
4 1 5
Cartesian
0.0000 0.0000 1.6058 Li
0.0000 0.0000 4.8387 Li
0.0000 0.0000 11.9202 Li
0.0000 0.0000 15.1531 Li
0.0000 0.0000 8.3794 Cd
1.7672 1.7672 0.0000 In
1.7672 1.7672 3.2216 In
1.7672 1.7672 6.4811 In
1.7672 1.7672 10.2778 In
1.7672 1.7672 13.5373 In
```

Energy above the most stable structure, in meV per atom: #w 15; #x 0

#w
Material: LiCd12In6
Method: DFT, PBE
State: relaxed

The structure in POSCAR format:
```
LiCd12In6
1.0
6.3809 3.6840 3.2807
-6.3809 3.6840 3.2807
0.0000 -7.3680 3.2807
Li Cd In
1 12 6
Cartesian
0.0000 0.0000 0.0000 Li
-1.3493 -4.6740 3.6991 Cd
-2.1998 -1.9409 4.4626 Cd
-4.7225 -1.1685 6.1431 Cd
-3.3732 3.5056 3.6991 Cd
-2.7807 0.9347 5.3796 Cd
0.5809 -2.8755 5.3796 Cd
-0.5809 2.8755 4.4626 Cd
2.7807 -0.9347 4.4626 Cd
3.3732 -3.5056 6.1431 Cd
4.7225 1.1685 3.6991 Cd
2.1998 1.9408 5.3796 Cd
1.3493 4.6740 6.1431 Cd
-1.8411 0.4335 2.4845 In
0.5451 -1.8112 2.4845 In
1.2960 1.3777 2.4845 In
-1.2960 -1.3777 7.3577 In
-0.5451 1.8112 7.3577 In
1.8411 -0.4335 7.3577 In
```

#x
Material: LiCd12In6
Method: DFT, PBE
State: relaxed

The structure in POSCAR format:
```
LiCd12In6
1.0
5.5532 3.2061 4.2913
-5.5532 3.2061 4.2913
0.0000 -6.4123 4.2913
Li Cd In
1 12 6
Cartesian
0.0000 0.0000 0.0000 Li
-1.7535 0.4300 2.3923 Cd
0.5043 -1.7336 2.3923 Cd
-1.8706 -0.6352 5.2222 Cd
1.2491 1.3035 2.3923 Cd
-0.3852 -1.9376 7.6518 Cd
1.4854 -1.3024 5.2222 Cd
-1.4854 1.3024 7.6518 Cd
0.3852 1.9376 5.2222 Cd
-1.2492 -1.3035 10.4817 Cd
1.8706 0.6352 7.6517 Cd
-0.5043 1.7336 10.4817 Cd
1.7535 -0.4300 10.4817 Cd
-0.8215 -3.4591 4.8590 In
-3.4064 -1.0181 8.0149 In
-2.5849 2.4410 4.8590 In
2.5849 -2.4410 8.0149 In
3.4064 1.0181 4.8590 In
0.8215 3.4591 8.0149 In
```

Energy above the most stable structure, in meV per atom: #w 0; #x 11

#w
Material: Li2CdIn8
Method: DFT, PBE
State: relaxed

The structure in POSCAR format:
```
Li2CdIn8
1.0
8.1342 -2.3162 0.0000
8.1342 2.3162 0.0000
-1.9886 0.0000 7.1154
Li Cd In
2 1 8
Cartesian
3.4005 0.0000 1.0407 Li
10.8794 0.0000 6.0747 Li
7.1399 0.0000 3.5577 Cd
0.3229 0.0000 1.6993 In
0.8883 0.0000 5.0914 In
4.0047 0.0000 4.1050 In
6.4812 0.0000 0.1993 In
7.7987 0.0000 6.9160 In
10.2752 0.0000 3.0104 In
13.3916 0.0000 2.0240 In
13.9569 0.0000 5.4161 In
```

#x
Material: Li2CdIn8
Method: DFT, PBE
State: relaxed

The structure in POSCAR format:
```
Li2CdIn8
1.0
4.7871 0.0000 0.0000
0.0000 4.7871 0.0000
0.0000 0.0000 12.0887
Li Cd In
2 1 8
Cartesian
0.0000 0.0000 2.0236 Li
0.0000 0.0000 10.0651 Li
0.0000 0.0000 6.0444 Cd
0.0000 2.3935 0.0000 In
0.0000 2.3935 4.2142 In
0.0000 2.3935 7.8745 In
2.3935 0.0000 0.0000 In
2.3935 0.0000 4.2142 In
2.3935 0.0000 7.8745 In
2.3935 2.3935 2.1410 In
2.3935 2.3935 9.9478 In
```

Energy above the most stable structure, in meV per atom: #w 0; #x 8